# 1
Computed, not measured: a relaxed structure of LiSi3Ni2 at the PBE-GGA level of DFT.

Summary:
For the density of states at the Fermi level, the calculation gives 1.43 states/eV per cell. As for the space-group type: P6/mmm, No. 191. Its energy above the lowest structure with this stoichiometry is 0.036 eV per atom. As for the total energy: -5.2584 eV/atom.

```
LiSi3Ni2
1.0
4.966 0.000 0.000
-2.483 4.301 0.000
0.000 0.000 3.779
Li Si Ni
1 3 2
Cartesian
0.000 0.000 0.000 Li
-1.242 2.150 1.889 Si
2.483 0.000 1.889 Si
1.242 2.150 1.889 Si
0.000 2.867 0.000 Ni
2.483 1.434 0.000 Ni
```

***

# 2
Computed, not measured: a relaxed structure of La2ThBr2N2 at the PBE-GGA level of DFT.

Summary:
For the density of states at the Fermi level, the calculation gives 3.40 states/eV per cell. As for the space-group type: I4/mmm, No. 139. As for the total energy: -6.6662 eV/atom.

```
La2ThBr2N2
1.0
-2.335 2.335 8.205
2.335 -2.335 8.205
2.335 2.335 -8.205
La Th Br N
2 1 2 2
Cartesian
0.000 0.000 1.557 La
0.000 0.000 14.853 La
0.000 0.000 8.205 Th
0.000 0.000 5.131 Br
0.000 0.000 11.279 Br
2.335 0.000 0.000 N
0.000 2.335 0.000 N
```

***

# 3
Computed, not measured: a relaxed structure of CdSn2H2 at the PBE-GGA level of DFT.

Summary:
For the density of states at the Fermi level, the calculation gives 3.30 states/eV per cell. As for the space-group type: P4/mbm, No. 127. Its energy above the lowest structure with this stoichiometry is 0.325 eV per atom. As for the total energy: -2.6622 eV/atom.

```
CdSn2H2
1.0
7.309 0.000 0.000
0.000 7.309 0.000
0.000 0.000 3.252
Cd Sn H
2 4 4
Cartesian
0.000 0.000 0.000 Cd
3.655 3.655 0.000 Cd
1.035 2.620 1.626 Sn
2.620 6.274 1.626 Sn
4.690 1.035 1.626 Sn
6.274 4.690 1.626 Sn
0.755 4.409 0.000 H
2.900 0.755 0.000 H
4.409 6.555 0.000 H
6.555 2.900 0.000 H
```

***

# 4
Computed, not measured: a relaxed structure of K3Dy2HoS6 at the PBE-GGA level of DFT.

Summary:
For the density of states at the Fermi level, the calculation gives 0.00 states/eV per cell. As for the space-group type: C2/m, No. 12. As for the total energy: -5.3765 eV/atom.

```
K3Dy2HoS6
1.0
3.504 -6.069 0.000
3.504 6.069 0.000
-2.336 0.000 7.370
K Dy Ho S
3 2 1 6
Cartesian
0.000 0.000 0.000 K
3.504 2.025 0.000 K
3.504 -2.025 0.000 K
2.336 4.046 3.685 Dy
2.336 -4.046 3.685 Dy
2.336 0.000 3.685 Ho
1.172 2.017 2.201 S
0.007 0.000 5.169 S
1.172 -2.017 2.201 S
3.500 2.017 5.169 S
4.664 0.000 2.201 S
3.500 -2.017 5.169 S
```

***

# 5
Computed, not measured: a relaxed structure of K2CeTiS4 at the PBE-GGA level of DFT.

Summary:
For the density of states at the Fermi level, the calculation gives 11.63 states/eV per cell. As for the space-group type: I-4, No. 82. As for the total energy: -5.4264 eV/atom.

```
K2CeTiS4
1.0
-3.646 3.646 4.677
3.646 -3.646 4.677
3.646 3.646 -4.677
K Ce Ti S
2 1 1 4
Cartesian
0.000 0.000 0.000 K
0.000 3.646 2.339 K
3.646 0.000 2.339 Ce
0.000 0.000 4.677 Ti
1.659 -1.312 3.633 S
2.333 1.986 1.044 S
1.986 4.958 -1.044 S
1.312 1.659 5.722 S
```